[1]
An optimized crystal structure of KMoSe2, computed with PBE.

Structure (POSCAR):
```
KMoSe2
1.0
-0.307 -2.488 5.553
4.763 -0.031 3.798
-3.098 3.850 -3.563
K Mo Se
1 1 2
Cartesian
2.228 -1.259 4.676
-0.589 0.052 3.333
0.000 0.000 0.000
1.947 1.280 2.455
```

Computed properties:
M_tot: 3.1 μB per formula unit
E: -17.366 eV/cell
Uncorrected formation energy: 1.532 eV/f.u.

***

[2]
An optimized crystal structure of KMo2Se, computed with PBE.

Structure (POSCAR):
```
KMo2Se
1.0
-0.171 -4.522 4.362
3.626 5.133 -0.109
-1.882 1.357 1.333
K Mo Se
1 2 1
Cartesian
0.872 3.245 0.612
0.000 0.000 0.000
1.727 0.306 2.127
-1.026 -1.582 2.848
```

Computed properties:
Energy above the most stable polymorph in this dataset: 0.954 eV/atom
M_tot: 0.0 μB per formula unit
E: -21.255 eV/cell
Uncorrected formation energy: 4.989 eV/f.u.

***

[3]
An optimized crystal structure of K3MoSe, computed with PBE.

Structure (POSCAR):
```
K3MoSe
1.0
-2.185 1.170 -5.785
-5.005 -3.637 1.155
-3.128 5.002 2.193
Mo K Se
1 3 1
Cartesian
-5.159 1.267 -1.219
-2.502 -1.818 0.577
-1.564 2.501 1.096
-1.092 0.585 -2.893
0.000 0.000 0.000
```

Computed properties:
Energy above the most stable polymorph in this dataset: 0.000 eV/atom
M_tot: 5.0 μB per formula unit
E: -15.586 eV/cell
Uncorrected formation energy: 2.022 eV/f.u.

***

[4]
An optimized crystal structure of KMo2Se, computed with PBE.

Structure (POSCAR):
```
KMo2Se
1.0
-4.715 -3.103 -1.701
-2.422 -5.251 -1.144
-2.607 -1.513 4.902
K Mo Se
1 2 1
Cartesian
-7.307 -7.400 1.543
-7.194 -8.192 -1.982
-4.814 -5.095 0.166
-2.436 -2.467 0.514
```

Computed properties:
Energy above the most stable polymorph in this dataset: 0.237 eV/atom
M_tot: 0.0 μB per formula unit
E: -24.122 eV/cell
Uncorrected formation energy: 2.122 eV/f.u.

***

[5]
An optimized crystal structure of KMo2Se, computed with PBE.

Structure (POSCAR):
```
KMo2Se
1.0
0.000 3.368 3.368
3.368 0.000 3.368
3.368 3.368 0.000
Mo K Se
2 1 1
Cartesian
1.684 1.684 1.684
5.052 5.052 5.052
0.000 0.000 0.000
3.368 3.368 3.368
```

Computed properties:
Energy above the most stable polymorph in this dataset: 1.240 eV/atom
M_tot: 4.8 μB per formula unit
E: -20.109 eV/cell
Uncorrected formation energy: 6.135 eV/f.u.

***

[6]
An optimized crystal structure of KMo2Se, computed with PBE.

Structure (POSCAR):
```
KMo2Se
1.0
-0.916 3.206 -0.011
-3.199 -0.913 0.223
0.508 0.173 7.990
K Mo Se
1 2 1
Cartesian
-1.684 1.274 5.981
0.047 0.016 0.743
-1.934 1.188 2.039
0.218 0.074 3.434
```

Computed properties:
Energy above the most stable polymorph in this dataset: 0.008 eV/atom
M_tot: 0.9 μB per formula unit
E: -25.037 eV/cell
Uncorrected formation energy: 1.208 eV/f.u.